Here is a relaxed CsMnTc2O8 crystal from the Alexandria database. Energies are from PBE+U.

Values from the calculation:
- final energy (eV per cell) = -87.81
- crystal system = monoclinic
- total magnetization (μB per cell) = 3.94

```
CsMnTc2O8
1.0
4.832 -2.961 0.000
4.832 2.961 0.000
-0.581 0.000 8.685
Cs Mn Tc O
1 1 2 8
Cartesian
0.000 0.000 0.000
-0.290 0.000 4.343
3.099 0.000 6.114
5.984 0.000 2.572
1.712 0.000 5.028
4.074 1.456 5.827
5.009 1.456 2.858
2.557 0.000 7.777
6.526 0.000 0.909
4.074 -1.456 5.827
5.009 -1.456 2.858
7.370 0.000 3.657
```